Here is a geometry-optimized K2SbBrCl6 structure from Alexandria. Energies are from GGA-PBE.

Cell and atoms, written as extended XYZ:
```
10
Lattice="6.799 0.000 0.000 1.512 6.952 0.000 1.297 1.827 7.994" Properties=species:S:1:pos:R:3 pbc="T T T"
K 0.000 0.000 0.000
K 4.661 5.170 3.329
Sb 4.823 4.530 7.518
Br 7.974 5.931 3.054
Cl 2.823 4.125 6.166
Cl 2.310 4.017 1.202
Cl 3.133 0.592 0.787
Cl 5.231 6.574 6.217
Cl 6.073 3.250 5.867
Cl 5.598 3.033 0.808
```

Computed properties:
As for the space group: P1. Its formation energy (no corrections) is -1.15 eV per atom. The final energy comes out at -30.579 eV per cell. The calculation puts the calculated volume at 378 Å³/cell. Its crystal system is triclinic.

=====

Here is a geometry-optimized Pu6Tc2Ir structure from Alexandria. Energies are from GGA-PBE.

Cell and atoms, written as extended XYZ:
```
9
Lattice="7.650 0.000 0.000 -3.825 6.625 0.000 0.000 0.000 2.932" Properties=species:S:1:pos:R:3 pbc="T T T"
Pu -1.310 2.268 0.257
Pu -2.515 4.357 2.675
Pu 2.619 0.000 0.257
Pu 1.310 2.268 2.675
Pu 5.030 0.000 2.675
Pu 2.515 4.357 0.257
Tc 0.000 4.417 1.466
Tc 3.825 2.208 1.466
Ir 0.000 0.000 1.466
```

Computed properties:
As for the space group: P-31m. The final energy comes out at -114.471 eV per cell. Its formation energy is 124 meV per atom. The calculation puts the calculated volume at 149 Å³/cell. Its crystal system is trigonal.

=====

Here is a geometry-optimized Nb2ZnFeSe structure from Alexandria. Energies are from GGA-PBE.

Cell and atoms, written as extended XYZ:
```
5
Lattice="4.765 0.000 0.000 0.000 4.765 0.000 0.000 0.000 4.546" Properties=species:S:1:pos:R:3 pbc="T T T"
Nb 0.000 2.383 0.000
Nb 2.383 0.000 0.000
Zn 0.000 0.000 2.273
Fe 2.383 2.383 2.273
Se 0.000 0.000 0.000
```

Computed properties:
As for the space group: P4/mmm. Its formation energy (no corrections) is 1.00 eV per atom. Its density of states at the Fermi level is 6.38 states/eV/f.u. The final energy comes out at -28.367 eV per cell. The calculation puts the calculated volume at 103 Å³/cell. Its crystal system is tetragonal.